{"formula": "ThSc2Os", "functional": "PBE-GGA", "state": "relaxed", "cell": [[3.8223, -0.0002, 0.0000], [-1.9101, 5.6789, 0.0000], [0.0000, 0.0000, 8.7423]], "species": ["Th", "Th", "Sc", "Sc", "Sc", "Sc", "Os", "Os"], "fractional_positions": [[0.9362, 0.8728, 0.2500], [0.0638, 0.1272, 0.7500], [0.3509, 0.7023, 0.5664], [0.6491, 0.2977, 0.4336], [0.3509, 0.7023, 0.9336], [0.6491, 0.2977, 0.0664], [0.7498, 0.4998, 0.7500], [0.2502, 0.5002, 0.2500]], "de_polymorph_ev_per_atom": 0.035, "mass_density_g_cm3": 8.964, "delta_e_f_kj_per_mol_fu": -103}

{"formula": "Th2Sc3Os2", "functional": "PBE-GGA", "state": "relaxed", "cell": [[3.9485, 0.0000, 0.0000], [-1.9742, 5.6348, -0.2699], [0.0000, -2.9502, 7.5507]], "species": ["Th", "Th", "Sc", "Sc", "Sc", "Os", "Os"], "fractional_positions": [[0.8525, 0.7050, 0.2131], [0.1475, 0.2950, 0.7869], [0.5000, 0.0000, 0.0000], [0.6298, 0.2597, 0.4229], [0.3702, 0.7403, 0.5771], [0.8285, 0.6571, 0.7910], [0.1715, 0.3429, 0.2090]], "de_polymorph_ev_per_atom": 0.000, "mass_density_g_cm3": 9.866, "delta_e_f_kj_per_mol_fu": -195}

{"formula": "ThSc2Os", "functional": "PBE-GGA", "state": "relaxed", "cell": [[-0.5933, 5.9866, 0.5059], [-6.7575, -0.4556, -2.5329], [-3.0010, -0.9890, 8.1842]], "species": ["Th", "Th", "Th", "Th", "Sc", "Sc", "Sc", "Sc", "Sc", "Sc", "Sc", "Sc", "Os", "Os", "Os", "Os"], "fractional_positions": [[0.6332, 0.5390, 0.2500], [0.8668, 0.0390, 0.2500], [0.3668, 0.4610, 0.7500], [0.1332, 0.9610, 0.7500], [0.1514, 0.6719, 0.0652], [0.3486, 0.1719, 0.4348], [0.8486, 0.3281, 0.5652], [0.6514, 0.8281, 0.9348], [0.8486, 0.3281, 0.9348], [0.6514, 0.8281, 0.5652], [0.1514, 0.6719, 0.4348], [0.3486, 0.1719, 0.0652], [0.0643, 0.3724, 0.2500], [0.4357, 0.8724, 0.2500], [0.9357, 0.6276, 0.7500], [0.5643, 0.1276, 0.7500]], "de_polymorph_ev_per_atom": 0.000, "mass_density_g_cm3": 8.883, "delta_e_f_kj_per_mol_fu": -117}

{"formula": "ThSc2Os", "functional": "PBE-GGA", "state": "relaxed", "cell": [[-1.6130, -2.8642, 0.1226], [2.4362, -1.2954, 1.7909], [-3.8479, 2.4675, 7.0191]], "species": ["Sc", "Sc", "Os", "Th"], "fractional_positions": [[0.0000, 0.0000, 0.8191], [0.0000, 0.0000, 0.1809], [0.5000, 0.5000, 0.0000], [0.5000, 0.5000, 0.5000]], "de_polymorph_ev_per_atom": 0.065, "mass_density_g_cm3": 9.383, "delta_e_f_kj_per_mol_fu": -92}

{"formula": "Th2ScOs", "functional": "PBE-GGA", "state": "relaxed", "cell": [[-0.1868, -0.0693, 3.8925], [-2.3874, -2.5059, 1.7921], [6.4254, -7.6338, 2.1238]], "species": ["Sc", "Os", "Th", "Th"], "fractional_positions": [[0.0000, 0.0000, 0.0000], [0.5000, 0.5000, 0.5000], [0.1111, 0.1111, 0.6667], [0.8889, 0.8889, 0.3333]], "mass_density_g_cm3": 8.870, "delta_e_f_kj_per_mol_fu": 115}

{"formula": "ThScOs2", "functional": "PBE-GGA", "state": "relaxed", "cell": [[-2.0241, 2.7731, 0.0158], [-2.3439, -1.6890, -3.8377], [-3.0920, -2.2734, 2.8890]], "species": ["Sc", "Os", "Os", "Th"], "fractional_positions": [[0.5000, 0.5000, 0.5000], [0.0000, 0.0000, 0.5000], [0.0000, 0.5000, 0.0000], [0.5000, 0.0000, 0.0000]], "mass_density_g_cm3": 13.781, "delta_e_f_kj_per_mol_fu": -92}

| no. | E (hartree per atom) |
| --- | --- |
| 1 | -0.29752 |
| 2 | -0.30617 |
| 3 | -0.29880 |
| 4 | -0.29642 |
| 5 | -0.28669 |
| 6 | -0.34143 |